Mg2BeIr: relaxed, PBE-GGA.

Summary:
Electronic total energy, eV per atom: -4.03
Formation enthalpy at 0 K, eV/atom: -0.086
Space group: No. 123

Lattice parameters (Å, degrees): 3.9017 3.9017 3.8710 90.00 90.00 90.00
Element x y z (fractional)
Mg  0.0000  0.5000  0.0000
Mg  0.5000  0.0000  0.0000
Be  0.0000  0.0000  0.5000
Ir  0.5000  0.5000  0.5000